# 1
First-principles (PBE) data for EuAgP after structural relaxation, as listed in Alexandria via LeMat-Bulk.

energy relative to the elements: -664 meV/atom
space-group type: F-43m

Unit cell a=4.6748 b=4.6748 c=4.6748 alpha=60.00 beta=60.00 gamma=60.00
Closest atoms and distances in Å follow each position.
Atoms (fractional coordinates):
1 Eu 0.0000 0.0000 0.0000  4 P 2.86
2 Ag 0.5000 0.5000 0.5000  4 P 2.86
3 P 0.2500 0.2500 0.2500  4 Ag 2.86, 4 Eu 2.86

# 2
First-principles (PBE) data for TcHgCl2 after structural relaxation, as listed in Alexandria via LeMat-Bulk.

excess energy over the best structure of this formula in the dataset: 0.107 eV per atom
formation energy from raw total energies: -0.0388 eV/atom
space-group type: Cmmm

Unit cell a=3.4813 b=3.4813 c=10.7538 alpha=90.00 beta=90.00 gamma=127.66
Closest atoms and distances in Å follow each position.
Atoms (fractional coordinates):
1 Tc 0.0000 0.0000 0.0000  4 Cl 2.40
2 Hg 0.0000 0.0000 0.5000  2 Hg 3.07
3 Cl 0.5000 0.5000 0.1709  2 Tc 2.40
4 Cl 0.5000 0.5000 0.8291  2 Tc 2.40

# 3
First-principles (PBE) data for Na2GaCuF7 after structural relaxation, as listed in Alexandria via LeMat-Bulk.

formation energy from raw total energies: -2.4104 eV/atom
space-group type: C2/c

Unit cell a=7.2725 b=7.2725 c=12.9971 alpha=106.88 beta=106.88 gamma=61.16
Closest atoms and distances in Å follow each position.
Atoms (fractional coordinates):
1 Na 0.0000 0.0000 0.0000  2 F 2.17
2 Na 0.0000 0.0000 0.5000  2 F 2.17
3 Na 0.2176 0.2884 0.7491  5 F 2.32-2.51
4 Na 0.2284 0.7716 0.7500  6 F 2.46-2.70
5 Na 0.2884 0.2176 0.2491  5 F 2.32-2.51
6 Na 0.7116 0.7824 0.7509  5 F 2.32-2.51
7 Na 0.7716 0.2284 0.2500  6 F 2.46-2.70
8 Na 0.7824 0.7116 0.2509  5 F 2.32-2.51
9 Ga 0.0000 0.5000 0.5000  6 F 1.90-1.95
10 Ga 0.2434 0.7566 0.2500  6 F 1.92-1.94
11 Ga 0.5000 0.0000 0.0000  6 F 1.90-1.95
12 Ga 0.7566 0.2434 0.7500  6 F 1.92-1.94
13 Cu 0.0000 0.5000 0.0000  6 F 1.96-2.13
14 Cu 0.5000 0.0000 0.5000  6 F 1.96-2.13
15 Cu 0.5000 0.5000 0.0000  4 F 1.95-1.97
16 Cu 0.5000 0.5000 0.5000  4 F 1.95-1.97
17 F 0.0071 0.4113 0.3442  1 Ga 1.95
18 F 0.0074 0.9010 0.3263  1 Ga 1.92
19 F 0.0834 0.6014 0.1552  1 Ga 1.94, 1 Cu 1.96
20 F 0.0990 0.9926 0.1737  1 Ga 1.92
21 F 0.1884 0.2224 0.5328  1 Ga 1.90
22 F 0.2025 0.5480 0.9501  2 Cu 1.95-1.97
23 F 0.2172 0.6019 0.5352  1 Ga 1.94, 1 Cu 1.97
24 F 0.2224 0.1884 0.0328  1 Ga 1.90
25 F 0.3843 0.5182 0.3245  1 Ga 1.92
26 F 0.3981 0.7828 0.9648  1 Ga 1.94, 1 Cu 1.97
27 F 0.3986 0.9166 0.3448  1 Ga 1.94, 1 Cu 1.96
28 F 0.4113 0.0071 0.8442  1 Ga 1.95
29 F 0.4520 0.7975 0.5499  2 Cu 1.95-1.97
30 F 0.4818 0.6157 0.1755  1 Ga 1.92
31 F 0.5182 0.3843 0.8245  1 Ga 1.92
32 F 0.5480 0.2025 0.4501  2 Cu 1.95-1.97
33 F 0.5887 0.9929 0.1558  1 Ga 1.95
34 F 0.6014 0.0834 0.6552  1 Ga 1.94, 1 Cu 1.96
35 F 0.6019 0.2172 0.0352  1 Ga 1.94, 1 Cu 1.97
36 F 0.6157 0.4818 0.6755  1 Ga 1.92
37 F 0.7776 0.8116 0.9672  1 Ga 1.90
38 F 0.7828 0.3981 0.4648  1 Ga 1.94, 1 Cu 1.97
39 F 0.7975 0.4520 0.0499  2 Cu 1.95-1.97
40 F 0.8116 0.7776 0.4672  1 Ga 1.90
41 F 0.9010 0.0074 0.8263  1 Ga 1.92
42 F 0.9166 0.3986 0.8448  1 Ga 1.94, 1 Cu 1.96
43 F 0.9926 0.0990 0.6737  1 Ga 1.92
44 F 0.9929 0.5887 0.6558  1 Ga 1.95

Number 1: electronic total energy -6.842 eV/atom, spin magnetization 7.0 μB per cell. Number 2: electronic total energy -3.629 eV/atom, spin magnetization 2.0 μB per cell. Number 3: electronic total energy -4.489 eV/atom, spin magnetization 4.0 μB per cell.